1.
Density functional theory data (PBE-GGA) for a relaxed Na2YGeO crystal.

```
5
Lattice="-2.8030 3.2702 -4.6924 -5.6433 -2.4318 1.6763 -0.5979 3.1441 2.5484" Properties=species:S:1:pos:R:3 pbc="T T T"
Y 0.0000 0.0000 0.0000
Na -2.8216 -1.2159 0.8381
Na -1.4015 1.6351 -2.3462
Ge -4.5221 1.9913 -0.2339
O -0.2989 1.5721 1.2742
```

* E_form (uncorrected): -0.25 eV/atom

---

2.
Density functional theory data (PBE-GGA) for a relaxed NaYGeO4 crystal.

```
14
Lattice="6.0417 0.0000 0.0000 3.0208 5.5774 -0.1446 3.0208 1.5614 5.3563" Properties=species:S:1:pos:R:3 pbc="T T T"
Na 4.5313 0.7807 2.6782
Na 1.5104 0.7807 2.6782
Y 0.0000 0.0000 0.0000
Y 3.0208 3.5694 2.6058
Ge 6.0417 3.6225 0.5364
Ge 6.0417 3.5162 4.6753
O 9.0625 5.2736 4.1146
O 6.0417 5.1825 4.0481
O 6.0417 1.9562 1.1636
O 3.0208 1.8652 1.0971
O 4.5687 4.5085 1.1832
O 7.5146 4.5085 1.1832
O 4.5687 2.6303 4.0285
O 7.5146 2.6303 4.0285
```

* E_form (uncorrected): -2.31 eV/atom
* ΔE to the lowest computed polymorph: 158 meV per atom

---

3.
Density functional theory data (PBE-GGA) for a relaxed NaYbGeO4 crystal.

```
28
Lattice="5.3393 0.0000 0.0000 0.0000 6.5000 0.0000 0.0000 0.0000 11.4958" Properties=species:S:1:pos:R:3 pbc="T T T"
Na 0.0000 3.2500 5.7479
Na 0.0000 0.0000 5.7479
Na 2.6697 3.2500 0.0000
Na 2.6697 0.0000 0.0000
Yb 2.6544 1.6250 3.1718
Yb 0.0153 1.6250 8.9197
Yb 2.6850 4.8750 8.3239
Yb 5.3240 4.8750 2.5761
Ge 0.2785 1.6250 1.1144
Ge 2.3912 1.6250 6.8623
Ge 5.0608 4.8750 10.3813
Ge 2.9481 4.8750 4.6334
O 1.2058 4.8750 4.5053
O 4.2321 6.2263 9.5110
O 1.5624 2.9763 7.7327
O 3.5992 4.8750 6.2789
O 1.5624 0.2737 7.7327
O 4.2321 3.5236 9.5110
O 1.7402 1.6250 5.2168
O 1.4638 4.8750 10.2532
O 0.9295 1.6250 10.9647
O 3.7769 3.5236 3.7631
O 3.7769 6.2263 3.7631
O 1.1073 0.2737 1.9848
O 4.4098 4.8750 0.5310
O 1.1073 2.9763 1.9848
O 4.1335 1.6250 6.9904
O 3.8755 1.6250 1.2425
```

* E_form (uncorrected): -2.16 eV/atom

---

no.,DFT total energy (eV for the cell shown),Fermi-level density of states (states/eV/cell)
1,-19.9,4.6
2,-96.8,0.0
3,-169.7,44.6